# La8Dy2Y3

An optimized crystal structure of La8Dy2Y3 (PBE, Alexandria via LeMat-Bulk).

Output
Excess energy over the best structure of this formula in the dataset, eV per atom: 0.000
Energy of formation from the pure elements, eV per atom: 0.15

Lattice parameters (Å, degrees): 6.1657 8.9817 8.9817 83.63 74.17 74.17
Fractional coordinates of all 13 atoms:
La1 0.2150 0.5563 0.5563
La2 0.7850 0.4437 0.4437
La3 0.9205 0.1457 0.1457
La4 0.0795 0.8543 0.8543
La5 0.6536 0.5871 0.0811
La6 0.6536 0.0811 0.5871
La7 0.3464 0.9189 0.4129
La8 0.3464 0.4129 0.9189
Dy1 0.3449 0.2973 0.2973
Dy2 0.6551 0.7027 0.7027
Y1 0.5000 0.0000 0.0000
Y2 0.0000 0.2542 0.7458
Y3 0.0000 0.7458 0.2542